# PBE PmPtRh2, relaxed
# crystal system: orthorhombic
# energy relative to the lowest polymorph listed for this composition: 0.2395 eV/atom
data_PmPtRh2
_chemical_formula_sum 'Pm4 Pt4 Rh8'
_cell_length_a 5.378
_cell_length_b 5.150
_cell_length_c 12.498
_cell_angle_alpha 90.00
_cell_angle_beta 90.00
_cell_angle_gamma 90.00
_space_group_name_H-M_alt 'P m m a'
_space_group_IT_number 51
_space_group_name_Hall '-P 2a 2a'
loop_
_atom_site_label
_atom_site_type_symbol
_atom_site_fract_x
_atom_site_fract_y
_atom_site_fract_z
_atom_site_occupancy
Pm1 Pm 0.250 0.000 0.093 1
Pm2 Pm 0.250 0.500 0.401 1
Pt1 Pt 0.250 0.000 0.835 1
Pt2 Pt 0.250 0.500 0.825 1
Rh1 Rh 0.000 0.000 0.500 1
Rh2 Rh 0.000 0.500 0.000 1
Rh3 Rh 0.250 0.252 0.646 1



# PBE Pm5Pt4Rh, relaxed
# crystal system: tetragonal
data_Pm5Pt4Rh
_chemical_formula_sum 'Pm5 Pt4 Rh1'
_cell_length_a 3.567
_cell_length_b 3.567
_cell_length_c 17.903
_cell_angle_alpha 90.00
_cell_angle_beta 90.00
_cell_angle_gamma 90.00
_space_group_name_H-M_alt 'P 4/m m m'
_space_group_IT_number 123
_space_group_name_Hall '-P 4 2'
loop_
_atom_site_label
_atom_site_type_symbol
_atom_site_fract_x
_atom_site_fract_y
_atom_site_fract_z
_atom_site_occupancy
Pm1 Pm 0.000 0.000 0.000 1
Pm2 Pm 0.000 0.000 0.202 1
Pm3 Pm 0.000 0.000 0.403 1
Pt1 Pt 0.500 0.500 0.101 1
Pt2 Pt 0.500 0.500 0.302 1
Rh1 Rh 0.500 0.500 0.500 1



# PBE Pm5Pt3Rh, relaxed
# crystal system: tetragonal
data_Pm5Pt3Rh
_chemical_formula_sum 'Pm20 Pt12 Rh4'
_cell_length_a 7.406
_cell_length_b 7.406
_cell_length_c 16.376
_cell_angle_alpha 90.00
_cell_angle_beta 90.00
_cell_angle_gamma 90.00
_space_group_name_H-M_alt 'I 4/m c m'
_space_group_IT_number 140
_space_group_name_Hall '-I 4 2c'
loop_
_atom_site_label
_atom_site_type_symbol
_atom_site_fract_x
_atom_site_fract_y
_atom_site_fract_z
_atom_site_occupancy
Pm1 Pm 0.000 0.000 0.000 1
Pm2 Pm 0.202 0.298 0.144 1
Pt1 Pt 0.000 0.000 0.250 1
Pt2 Pt 0.126 0.374 0.500 1
Rh1 Rh 0.000 0.500 0.250 1



# PBE Pm8PtRh5, relaxed
# crystal system: tetragonal
data_Pm8PtRh5
_chemical_formula_sum 'Pm16 Pt2 Rh10'
_cell_length_a 8.849
_cell_length_b 8.849
_cell_length_c 8.804
_cell_angle_alpha 90.00
_cell_angle_beta 90.00
_cell_angle_gamma 90.00
_space_group_name_H-M_alt 'I -4'
_space_group_IT_number 82
_space_group_name_Hall 'I -4'
loop_
_atom_site_label
_atom_site_type_symbol
_atom_site_fract_x
_atom_site_fract_y
_atom_site_fract_z
_atom_site_occupancy
Pm1 Pm 0.059 0.309 0.066 1
Pm2 Pm 0.063 0.186 0.683 1
Pt1 Pt 0.000 0.500 0.750 1
Rh1 Rh 0.000 0.000 0.000 1
Rh2 Rh 0.127 0.248 0.374 1



# PBE Pm4Pt2Rh, relaxed
# crystal system: monoclinic
# energy relative to the lowest polymorph listed for this composition: 0.0444 eV/atom
data_Pm4Pt2Rh
_chemical_formula_sum 'Pm8 Pt4 Rh2'
_cell_length_a 14.075
_cell_length_b 4.579
_cell_length_c 6.038
_cell_angle_alpha 90.00
_cell_angle_beta 107.59
_cell_angle_gamma 90.00
_space_group_name_H-M_alt 'C 1 2/m 1'
_space_group_IT_number 12
_space_group_name_Hall '-C 2y'
loop_
_atom_site_label
_atom_site_type_symbol
_atom_site_fract_x
_atom_site_fract_y
_atom_site_fract_z
_atom_site_occupancy
Pm1 Pm 0.089 0.000 0.281 1
Pm2 Pm 0.156 0.500 0.792 1
Pt1 Pt 0.227 0.500 0.307 1
Rh1 Rh 0.000 0.500 0.000 1



# PBE Pm8PtRh2, relaxed
# crystal system: monoclinic
# energy relative to the lowest polymorph listed for this composition: 0.0000 eV/atom
data_Pm8PtRh2
_chemical_formula_sum 'Pm16 Pt2 Rh4'
_cell_length_a 17.700
_cell_length_b 5.114
_cell_length_c 6.880
_cell_angle_alpha 90.00
_cell_angle_beta 99.58
_cell_angle_gamma 90.00
_space_group_name_H-M_alt 'C 1 2/m 1'
_space_group_IT_number 12
_space_group_name_Hall '-C 2y'
loop_
_atom_site_label
_atom_site_type_symbol
_atom_site_fract_x
_atom_site_fract_y
_atom_site_fract_z
_atom_site_occupancy
Pm1 Pm 0.038 0.000 0.275 1
Pm2 Pm 0.088 0.500 0.937 1
Pm3 Pm 0.167 0.500 0.465 1
Pm4 Pm 0.201 0.000 0.838 1
Pt1 Pt 0.000 0.500 0.500 1
Rh1 Rh 0.206 0.000 0.241 1



# PBE Pm4Pt3Rh, relaxed
# crystal system: orthorhombic
# energy relative to the lowest polymorph listed for this composition: 0.0000 eV/atom
data_Pm4Pt3Rh
_chemical_formula_sum 'Pm4 Pt3 Rh1'
_cell_length_a 3.891
_cell_length_b 4.487
_cell_length_c 10.827
_cell_angle_alpha 90.00
_cell_angle_beta 90.00
_cell_angle_gamma 90.00
_space_group_name_H-M_alt 'P m m 2'
_space_group_IT_number 25
_space_group_name_Hall 'P 2 -2'
loop_
_atom_site_label
_atom_site_type_symbol
_atom_site_fract_x
_atom_site_fract_y
_atom_site_fract_z
_atom_site_occupancy
Pm1 Pm 0.000 0.000 0.000 1
Pm2 Pm 0.000 0.500 0.273 1
Pm3 Pm 0.500 0.000 0.492 1
Pm4 Pm 0.500 0.500 0.773 1
Pt1 Pt 0.000 0.000 0.723 1
Pt2 Pt 0.000 0.500 0.549 1
Pt3 Pt 0.500 0.500 0.050 1
Rh1 Rh 0.500 0.000 0.225 1



# PBE Pm3Pt8Rh, relaxed
# crystal system: trigonal
data_Pm3Pt8Rh
_chemical_formula_sum 'Pm9 Pt24 Rh3'
_cell_length_a 5.4436
_cell_length_b 5.4436
_cell_length_c 26.5994
_cell_angle_alpha 90.00
_cell_angle_beta 90.00
_cell_angle_gamma 120.00
_space_group_name_H-M_alt 'R 3 m'
_space_group_IT_number 160
_space_group_name_Hall 'R 3 -2"'
loop_
_atom_site_label
_atom_site_type_symbol
_atom_site_fract_x
_atom_site_fract_y
_atom_site_fract_z
_atom_site_occupancy
Pm1 Pm 0.0000 0.0000 0.0000 1
Pm2 Pm 0.0000 0.0000 0.1308 1
Pm3 Pm 0.0000 0.0000 0.5222 1
Pt1 Pt 0.0000 0.0000 0.3198 1
Pt2 Pt 0.0000 0.0000 0.8206 1
Pt3 Pt 0.0000 0.5000 0.0702 1
Pt4 Pt 0.1682 0.3364 0.9036 1
Rh1 Rh 0.0000 0.0000 0.6459 1



# PBE Pm2PtRh2, relaxed
# crystal system: orthorhombic
data_Pm2PtRh2
_chemical_formula_sum 'Pm4 Pt2 Rh4'
_cell_length_a 4.567
_cell_length_b 5.575
_cell_length_c 8.267
_cell_angle_alpha 90.00
_cell_angle_beta 90.00
_cell_angle_gamma 90.00
_space_group_name_H-M_alt 'I m m m'
_space_group_IT_number 71
_space_group_name_Hall '-I 2 2'
loop_
_atom_site_label
_atom_site_type_symbol
_atom_site_fract_x
_atom_site_fract_y
_atom_site_fract_z
_atom_site_occupancy
Pm1 Pm 0.000 0.000 0.203 1
Pt1 Pt 0.000 0.500 0.000 1
Rh1 Rh 0.000 0.259 0.500 1



# PBE Pm3Pt7Rh2, relaxed
# crystal system: trigonal
data_Pm3Pt7Rh2
_chemical_formula_sum 'Pm9 Pt21 Rh6'
_cell_length_a 5.4352
_cell_length_b 5.4352
_cell_length_c 26.5901
_cell_angle_alpha 90.00
_cell_angle_beta 90.00
_cell_angle_gamma 120.00
_space_group_name_H-M_alt 'R -3 m'
_space_group_IT_number 166
_space_group_name_Hall '-R 3 2"'
loop_
_atom_site_label
_atom_site_type_symbol
_atom_site_fract_x
_atom_site_fract_y
_atom_site_fract_z
_atom_site_occupancy
Pm1 Pm 0.0000 0.0000 0.0000 1
Pm2 Pm 0.0000 0.0000 0.1385 1
Pt1 Pt 0.0000 0.0000 0.5000 1
Pt2 Pt 0.0032 0.5016 0.9174 1
Rh1 Rh 0.0000 0.0000 0.3326 1



# PBE Pm6PtRh5, relaxed
# crystal system: monoclinic
# energy relative to the lowest polymorph listed for this composition: 0.1420 eV/atom
data_Pm6PtRh5
_chemical_formula_sum 'Pm12 Pt2 Rh10'
_cell_length_a 7.118
_cell_length_b 12.181
_cell_length_c 7.093
_cell_angle_alpha 90.00
_cell_angle_beta 109.11
_cell_angle_gamma 90.00
_space_group_name_H-M_alt 'C 1 2/m 1'
_space_group_IT_number 12
_space_group_name_Hall '-C 2y'
loop_
_atom_site_label
_atom_site_type_symbol
_atom_site_fract_x
_atom_site_fract_y
_atom_site_fract_z
_atom_site_occupancy
Pm1 Pm 0.241 0.000 0.244 1
Pm2 Pm 0.245 0.169 0.744 1
Pt1 Pt 0.000 0.500 0.000 1
Rh1 Rh 0.000 0.000 0.500 1
Rh2 Rh 0.000 0.170 0.000 1
Rh3 Rh 0.000 0.341 0.500 1



# PBE PmPtRh, relaxed
# crystal system: orthorhombic
# energy relative to the lowest polymorph listed for this composition: 0.0000 eV/atom
data_PmPtRh
_chemical_formula_sum 'Pm4 Pt4 Rh4'
_cell_length_a 5.433
_cell_length_b 5.457
_cell_length_c 7.717
_cell_angle_alpha 90.00
_cell_angle_beta 90.00
_cell_angle_gamma 90.00
_space_group_name_H-M_alt 'I m m a'
_space_group_IT_number 74
_space_group_name_Hall '-I 2b 2'
loop_
_atom_site_label
_atom_site_type_symbol
_atom_site_fract_x
_atom_site_fract_y
_atom_site_fract_z
_atom_site_occupancy
Pm1 Pm 0.000 0.250 0.126 1
Pt1 Pt 0.250 0.250 0.750 1
Rh1 Rh 0.000 0.000 0.500 1



Number 1: D(E_F) 17.33 states/eV per cell, DFT formation energy -0.317 eV per atom. Number 2: D(E_F) 7.30 states/eV per cell, DFT formation energy -1.004 eV per atom. Number 3: D(E_F) 27.60 states/eV per cell, DFT formation energy -0.792 eV per atom. Number 4: D(E_F) 17.21 states/eV per cell, DFT formation energy -0.725 eV per atom. Number 5: D(E_F) 11.52 states/eV per cell, DFT formation energy -0.851 eV per atom. Number 6: D(E_F) 24.37 states/eV per cell, DFT formation energy -0.482 eV per atom. Number 7: D(E_F) 5.07 states/eV per cell, DFT formation energy -1.067 eV per atom. Number 8: D(E_F) 38.88 states/eV per cell, DFT formation energy -0.839 eV per atom. Number 9: D(E_F) 3.97 states/eV per cell, DFT formation energy -0.818 eV per atom. Number 10: D(E_F) 29.98 states/eV per cell, DFT formation energy -0.849 eV per atom. Number 11: D(E_F) 6.94 states/eV per cell, DFT formation energy -0.616 eV per atom. Number 12: D(E_F) 8.78 states/eV per cell, DFT formation energy -0.895 eV per atom.